Entry 1:
KScCuS2: relaxed, PBE.

Unit cell a=4.6932 b=7.3237 c=7.1471 alpha=101.08 beta=90.00 gamma=90.00
Fractional coordinates of all 10 atoms:
S (0.3186, 0.2249, 0.0425)
S (0.6814, 0.2249, 0.5425)
S (0.3186, 0.7751, 0.4575)
S (0.6814, 0.7751, 0.9575)
Cu (0.0000, 0.0000, 0.0000)
Cu (0.0000, 0.0000, 0.5000)
Sc (0.4946, 0.0000, 0.2500)
Sc (0.5054, 0.0000, 0.7500)
K (0.1823, 0.5000, 0.7500)
K (0.8177, 0.5000, 0.2500)

raw formation energy	-1.08	eV/atom



Entry 2:
BaLa2Tb: relaxed, PBE.

Unit cell a=3.8091 b=3.8091 c=11.0527 alpha=90.00 beta=90.00 gamma=90.00
Fractional coordinates of all 4 atoms:
La (0.0000, 0.0000, 0.7839)
La (0.0000, 0.0000, 0.2161)
Tb (0.5000, 0.5000, 0.0000)
Ba (0.5000, 0.5000, 0.5000)

ΔH_f (0 K)	0.1021	eV per atom
energy above the most stable polymorph in this dataset	0.0000	eV per atom



Entry 3:
Pr2Zn4Co: relaxed, PBE.

Unit cell a=4.5796 b=4.5796 c=8.1954 alpha=73.78 beta=73.78 gamma=90.00
Fractional coordinates of all 7 atoms:
Pr (0.3579, 0.3579, 0.2842)
Pr (0.6421, 0.6421, 0.7158)
Zn (0.5000, 0.0000, 0.0000)
Zn (0.0000, 0.5000, 0.0000)
Zn (0.8443, 0.8443, 0.3114)
Zn (0.1557, 0.1557, 0.6886)
Co (0.0000, 0.0000, 0.0000)

ΔH_f (0 K)	-0.1024	eV per atom



Entry 4:
BaN: relaxed, PBE.

Unit cell a=6.1508 b=6.1508 c=6.1508 alpha=90.00 beta=90.00 gamma=90.00
Site moments in Bohr magnetons follow the coordinates.
Fractional coordinates of all 8 atoms:
N (0.2500, 0.7500, 0.7500)  0.65
N (0.2500, 0.2500, 0.2500)  0.65
N (0.7500, 0.2500, 0.7500)  0.65
N (0.7500, 0.7500, 0.2500)  0.65
Ba (0.5000, 0.5000, 0.0000)  0.04
Ba (0.0000, 0.5000, 0.5000)  0.04
Ba (0.5000, 0.0000, 0.5000)  0.04
Ba (0.0000, 0.0000, 0.0000)  0.04

raw formation energy	0.19	eV/atom



Entry 5:
CrMoIr3: relaxed, PBE.

Unit cell a=4.9304 b=4.9695 c=12.1500 alpha=90.00 beta=90.00 gamma=90.00
Site moments in Bohr magnetons follow the coordinates.
Fractional coordinates of all 20 atoms:
Ir (0.7500, 0.7500, 0.5449)  -0.11
Ir (0.6251, 0.9904, 0.3547)  -0.07
Ir (0.1251, 0.5096, 0.8547)  -0.07
Ir (0.6251, 0.0096, 0.1453)  -0.07
Ir (0.3749, 0.0096, 0.6453)  -0.07
Ir (0.1251, 0.4904, 0.6453)  -0.07
Ir (0.2500, 0.7500, 0.0449)  -0.11
Ir (0.7500, 0.2500, 0.9551)  -0.11
Ir (0.8749, 0.4904, 0.1453)  -0.07
Ir (0.3749, 0.9904, 0.8547)  -0.07
Ir (0.8749, 0.5096, 0.3547)  -0.07
Ir (0.2500, 0.2500, 0.4551)  -0.11
Mo (0.1270, 0.0000, 0.2500)  -0.11
Mo (0.6270, 0.5000, 0.7500)  -0.11
Mo (0.8730, 0.0000, 0.7500)  -0.11
Mo (0.3730, 0.5000, 0.2500)  -0.11
Cr (0.7500, 0.7500, 0.9628)  0.98
Cr (0.7500, 0.2500, 0.5372)  0.98
Cr (0.2500, 0.7500, 0.4628)  0.98
Cr (0.2500, 0.2500, 0.0372)  0.98

ΔH_f (0 K)	0.0797	eV per atom
energy above the most stable polymorph in this dataset	0.0000	eV per atom



Entry 6:
Zr2ScIn: relaxed, PBE.

Unit cell a=10.5927 b=10.5927 c=10.5927 alpha=17.50 beta=17.50 gamma=17.50
Site moments in Bohr magnetons follow the coordinates.
Fractional coordinates of all 4 atoms:
Zr (0.5004, 0.5004, 0.5004)  0.15
Zr (0.9996, 0.9996, 0.9996)  0.15
Sc (0.7500, 0.7500, 0.7500)  0.18
In (0.2500, 0.2500, 0.2500)  0.01

ΔH_f (0 K)	-0.0624	eV per atom



| no. | calculated volume (Å³/atom) |
| --- | --- |
| 1 | 24.1 |
| 2 | 40.1 |
| 3 | 22.6 |
| 4 | 29.1 |
| 5 | 14.9 |
| 6 | 23.5 |